A relaxed structure of Pm6HRh2Br3, computed with PBE-GGA.

For the total energy, the calculation gives -5.224 eV/atom. The value obtained for the spin magnetization is 0.00 μB/f.u. The value obtained for the density of states at the Fermi level is 15.074 states/eV per cell.

Cell and atoms, written as CIF:
```
data_Pm6HRh2Br3
_space_group_name_H-M_alt 'C 1 2/m 1'
_space_group_IT_number 12
_cell_length_a 6.979
_cell_length_b 12.035
_cell_length_c 8.099
_cell_angle_alpha 90.00
_cell_angle_beta 106.77
_cell_angle_gamma 90.00
loop_
_space_group_symop_operation_xyz
'x,y,z'
'-x,-y,-z'
'-x,y,-z'
'x,-y,z'
'x+1/2,y+1/2,z'
'-x+1/2,-y+1/2,-z'
'-x+1/2,y+1/2,-z'
'x+1/2,-y+1/2,z'
loop_
_atom_site_label
_atom_site_fract_x
_atom_site_fract_y
_atom_site_fract_z
Pm1 0.230 0.165 0.195
Pm2 0.234 0.500 0.196
H1 0.000 0.000 0.000
Rh1 0.000 0.334 0.000
Br1 0.000 0.168 0.500
Br2 0.000 0.500 0.500
```


A relaxed structure of NaRh5S8, computed with PBE-GGA.

The value obtained for the spin magnetization is 0.00 μB/f.u. For the uncorrected formation energy, the calculation gives -0.50 eV/atom.

Cell and atoms, written as CIF:
```
data_NaRh5S8
_space_group_name_H-M_alt 'C 1 m 1'
_space_group_IT_number 8
_cell_length_a 18.550
_cell_length_b 3.525
_cell_length_c 8.475
_cell_angle_alpha 90.00
_cell_angle_beta 108.15
_cell_angle_gamma 90.00
loop_
_space_group_symop_operation_xyz
'x,y,z'
'x,-y,z'
'x+1/2,y+1/2,z'
'x+1/2,-y+1/2,z'
loop_
_atom_site_label
_atom_site_fract_x
_atom_site_fract_y
_atom_site_fract_z
Na1 0.000 0.000 0.000
Rh1 0.109 0.000 0.453
Rh2 0.153 0.000 0.819
Rh3 0.252 0.500 0.172
Rh4 0.298 0.500 0.542
Rh5 0.452 0.000 0.490
S1 0.031 0.000 0.618
S2 0.032 0.500 0.308
S3 0.128 0.500 0.978
S4 0.189 0.500 0.648
S5 0.218 0.000 0.353
S6 0.276 0.000 0.013
S7 0.372 0.500 0.369
S8 0.377 0.000 0.683
```


A relaxed structure of K2MoPd, computed with PBE-GGA.

The value obtained for the spin magnetization is 5.27 μB/f.u. The value obtained for the density of states at the Fermi level is 16.355 states/eV per cell. The value obtained for the energy above the most stable polymorph in this dataset is 246.4 meV per atom. The value obtained for the formation energy from the elements is 1.3026 eV/atom.

Cell and atoms, written as CIF:
```
data_K2MoPd
_space_group_name_H-M_alt 'F m -3 m'
_space_group_IT_number 225
_space_group_name_Hall '-F 4 2 3'
_cell_length_a 7.942
_cell_length_b 7.942
_cell_length_c 7.942
_cell_angle_alpha 90.00
_cell_angle_beta 90.00
_cell_angle_gamma 90.00
loop_
_atom_site_label
_atom_site_fract_x
_atom_site_fract_y
_atom_site_fract_z
K1 0.250 0.250 0.250
Mo1 0.000 0.000 0.000
Pd1 0.000 0.000 0.500
```


A relaxed structure of CaSc2Ir, computed with PBE-GGA.

The value obtained for the spin magnetization is 0.35 μB/f.u. The value obtained for the density of states at the Fermi level is 3.251 states/eV per cell. The value obtained for the formation energy from the elements is -0.3042 eV/atom.

Cell and atoms, written as CIF:
```
data_CaSc2Ir
_space_group_name_H-M_alt 'P 4 m m'
_space_group_IT_number 99
_cell_length_a 3.608
_cell_length_b 3.608
_cell_length_c 7.538
_cell_angle_alpha 90.00
_cell_angle_beta 90.00
_cell_angle_gamma 90.00
loop_
_space_group_symop_operation_xyz
'x,y,z'
'-y,x,z'
'-x,-y,z'
'y,-x,z'
'-x,y,z'
'y,x,z'
'x,-y,z'
'-y,-x,z'
loop_
_atom_site_label
_atom_site_fract_x
_atom_site_fract_y
_atom_site_fract_z
Ca1 0.000 0.000 0.000
Sc1 0.000 0.000 0.406
Sc2 0.500 0.500 0.655
Ir1 0.500 0.500 0.294
```


A relaxed structure of Ce3Pu2Pb2, computed with PBE-GGA.

The value obtained for the spin magnetization is 15.51 μB/f.u. The value obtained for the density of states at the Fermi level is 36.159 states/eV per cell. The value obtained for the formation energy from the elements is -0.1996 eV/atom.

Cell and atoms, written as CIF:
```
data_Ce3Pu2Pb2
_space_group_name_H-M_alt 'C 1 2/m 1'
_space_group_IT_number 12
_cell_length_a 11.013
_cell_length_b 4.474
_cell_length_c 7.982
_cell_angle_alpha 90.00
_cell_angle_beta 91.78
_cell_angle_gamma 90.00
loop_
_space_group_symop_operation_xyz
'x,y,z'
'-x,-y,-z'
'-x,y,-z'
'x,-y,z'
'x+1/2,y+1/2,z'
'-x+1/2,-y+1/2,-z'
'-x+1/2,y+1/2,-z'
'x+1/2,-y+1/2,z'
loop_
_atom_site_label
_atom_site_fract_x
_atom_site_fract_y
_atom_site_fract_z
Ce1 0.000 0.000 0.000
Ce2 0.134 0.000 0.418
Pu1 0.216 0.500 0.142
Pb1 0.080 0.500 0.720
```


A relaxed structure of ErSbRh4, computed with PBE-GGA.

The value obtained for the spin magnetization is 0.00 μB/f.u. The value obtained for the density of states at the Fermi level is 14.193 states/eV per cell. For the uncorrected formation energy, the calculation gives -0.42 eV/atom. The value obtained for the energy above the most stable polymorph in this dataset is 0.0 meV per atom.

Cell and atoms, written as CIF:
```
data_ErSbRh4
_space_group_name_H-M_alt 'F -4 3 m'
_space_group_IT_number 216
_space_group_name_Hall 'F -4 2 3'
_cell_length_a 7.484
_cell_length_b 7.484
_cell_length_c 7.484
_cell_angle_alpha 90.00
_cell_angle_beta 90.00
_cell_angle_gamma 90.00
loop_
_atom_site_label
_atom_site_fract_x
_atom_site_fract_y
_atom_site_fract_z
Er1 0.000 0.000 0.000
Sb1 0.250 0.250 0.750
Rh1 0.124 0.124 0.376
```


A relaxed structure of Sm5TmPb6, computed with PBE-GGA.

The value obtained for the spin magnetization is 0.00 μB/f.u. The value obtained for the density of states at the Fermi level is 23.231 states/eV per cell. The value obtained for the formation energy from the elements is -0.4695 eV/atom.

Cell and atoms, written as CIF:
```
data_Sm5TmPb6
_space_group_name_H-M_alt 'I m m m'
_space_group_IT_number 71
_space_group_name_Hall '-I 2 2'
_cell_length_a 5.008
_cell_length_b 9.085
_cell_length_c 15.311
_cell_angle_alpha 90.00
_cell_angle_beta 90.00
_cell_angle_gamma 90.00
loop_
_atom_site_label
_atom_site_fract_x
_atom_site_fract_y
_atom_site_fract_z
Sm1 0.000 0.000 0.000
Sm2 0.000 0.000 0.336
Sm3 0.000 0.500 0.333
Tm1 0.000 0.500 0.000
Pb1 0.000 0.248 0.500
Pb2 0.000 0.251 0.166
```


A relaxed structure of Na6CaI8, computed with PBE-GGA.

The value obtained for the spin magnetization is 0.00 μB/f.u. The value obtained for the density of states at the Fermi level is 0.000 states/eV per cell. For the uncorrected formation energy, the calculation gives -1.33 eV/atom.

Cell and atoms, written as CIF:
```
data_Na6CaI8
_space_group_name_H-M_alt 'F m -3 m'
_space_group_IT_number 225
_space_group_name_Hall '-F 4 2 3'
_cell_length_a 13.053
_cell_length_b 13.053
_cell_length_c 13.053
_cell_angle_alpha 90.00
_cell_angle_beta 90.00
_cell_angle_gamma 90.00
loop_
_atom_site_label
_atom_site_fract_x
_atom_site_fract_y
_atom_site_fract_z
Na1 0.000 0.250 0.250
Ca1 0.000 0.000 0.000
I1 0.000 0.000 0.242
I2 0.250 0.250 0.250
```


A relaxed structure of Na2AcGe6, computed with PBE-GGA.

The value obtained for the spin magnetization is 0.00 μB/f.u. The value obtained for the density of states at the Fermi level is 3.385 states/eV per cell. The value obtained for the formation energy from the elements is -0.1167 eV/atom.

Cell and atoms, written as CIF:
```
data_Na2AcGe6
_space_group_name_H-M_alt 'I m m m'
_space_group_IT_number 71
_space_group_name_Hall '-I 2 2'
_cell_length_a 3.977
_cell_length_b 9.637
_cell_length_c 11.372
_cell_angle_alpha 90.00
_cell_angle_beta 90.00
_cell_angle_gamma 90.00
loop_
_atom_site_label
_atom_site_fract_x
_atom_site_fract_y
_atom_site_fract_z
Na1 0.000 0.000 0.153
Ac1 0.000 0.500 0.000
Ge1 0.000 0.215 0.320
Ge2 0.000 0.359 0.500
```


A relaxed structure of CrTcPt2, computed with PBE-GGA.

The value obtained for the spin magnetization is 2.01 μB/f.u. The value obtained for the density of states at the Fermi level is 9.375 states/eV per cell. The value obtained for the energy above the most stable polymorph in this dataset is 144.1 meV per atom. The value obtained for the formation energy from the elements is -0.0443 eV/atom.

Cell and atoms, written as CIF:
```
data_CrTcPt2
_space_group_name_H-M_alt 'C 1 2/m 1'
_space_group_IT_number 12
_cell_length_a 9.137
_cell_length_b 2.793
_cell_length_c 4.689
_cell_angle_alpha 90.00
_cell_angle_beta 100.46
_cell_angle_gamma 90.00
loop_
_space_group_symop_operation_xyz
'x,y,z'
'-x,-y,-z'
'-x,y,-z'
'x,-y,z'
'x+1/2,y+1/2,z'
'-x+1/2,-y+1/2,-z'
'-x+1/2,y+1/2,-z'
'x+1/2,-y+1/2,z'
loop_
_atom_site_label
_atom_site_fract_x
_atom_site_fract_y
_atom_site_fract_z
Cr1 0.000 0.000 0.000
Tc1 0.000 0.500 0.500
Pt1 0.250 0.000 0.750
```


A relaxed structure of Tb2PrY9, computed with PBE-GGA.

The value obtained for the spin magnetization is 0.00 μB/f.u. The value obtained for the density of states at the Fermi level is 18.035 states/eV per cell. The value obtained for the formation energy from the elements is 0.0240 eV/atom.

Cell and atoms, written as CIF:
```
data_Tb2PrY9
_space_group_name_H-M_alt 'P 4/m m m'
_space_group_IT_number 123
_space_group_name_Hall '-P 4 2'
_cell_length_a 5.066
_cell_length_b 5.066
_cell_length_c 15.200
_cell_angle_alpha 90.00
_cell_angle_beta 90.00
_cell_angle_gamma 90.00
loop_
_atom_site_label
_atom_site_fract_x
_atom_site_fract_y
_atom_site_fract_z
Tb1 0.000 0.000 0.166
Pr1 0.000 0.000 0.500
Y1 0.000 0.500 0.000
Y2 0.000 0.500 0.331
Y3 0.500 0.500 0.165
Y4 0.500 0.500 0.500
```


A relaxed structure of KAg2P, computed with PBE-GGA.

The value obtained for the spin magnetization is 0.00 μB/f.u. The value obtained for the density of states at the Fermi level is 3.042 states/eV per cell. The value obtained for the formation energy from the elements is 0.4447 eV/atom.

Cell and atoms, written as CIF:
```
data_KAg2P
_space_group_name_H-M_alt 'C m m m'
_space_group_IT_number 65
_space_group_name_Hall '-C 2 2'
_cell_length_a 6.151
_cell_length_b 9.659
_cell_length_c 2.916
_cell_angle_alpha 90.00
_cell_angle_beta 90.00
_cell_angle_gamma 90.00
loop_
_atom_site_label
_atom_site_fract_x
_atom_site_fract_y
_atom_site_fract_z
K1 0.000 0.000 0.000
Ag1 0.250 0.250 0.500
P1 0.000 0.500 0.000
```